Computed, not measured: a geometry-optimized KTl16Pb12 structure at the PBE level of DFT.

a = 12.3761 Å, b = 17.2387 Å, c = 10.7063 Å
α = 90.00°, β = 125.05°, γ = 90.00°
Closest atoms and distances in Å follow each position.
Space group Cm (No. 8)
Asymmetric unit:
K: 0.0000 0.0000 0.0000  5 Pb 3.50-3.69, 7 Tl 3.60-3.78
Tl: 0.0488 0.1422 0.2822  5 Pb 3.39-3.71, 5 Tl 3.51-3.79, 1 K 3.66
Tl: 0.0754 0.2043 0.9611  5 Pb 3.42-3.64, 6 Tl 3.47-3.79, 1 K 3.73
Tl: 0.0941 0.5000 0.6306  4 Tl 3.47-3.73, 6 Pb 3.66-3.73
Tl: 0.0961 0.5000 0.2831  4 Tl 3.69-3.74, 12 Pb 3.72-3.85
Tl: 0.1585 0.1541 0.6869  5 Pb 3.35-3.64, 6 Tl 3.45-3.73
Tl: 0.2442 0.3422 0.8720  4 Pb 3.33-3.61, 5 Tl 3.47-3.72
Tl: 0.2551 0.0000 0.9358  3 Tl 3.45-3.69, 6 Pb 3.59-3.75, 1 K 3.60
Tl: 0.2678 0.3224 0.2785  4 Tl 3.47-3.74, 6 Pb 3.60-3.73
Tl: 0.2840 0.0000 0.5660  5 Pb 3.38-3.61, 7 Tl 3.49-3.68
Tl: 0.3909 0.2016 0.5938  5 Pb 3.36-3.62, 6 Tl 3.48-3.73
Pb: 0.0963 0.3113 0.4715  3 Pb 3.19-3.33, 3 Tl 3.35-3.47
Pb: 0.2746 0.5000 0.0984  3 Pb 3.17-3.26, 1 K 3.50, 2 Tl 3.52
Pb: 0.3165 0.0936 0.2877  3 Pb 3.23-3.30, 4 Tl 3.39-3.61
Pb: 0.3689 0.4032 0.6407  3 Pb 3.19-3.34, 3 Tl 3.42-3.54
Pb: 0.4045 0.1886 0.0914  3 Pb 3.20-3.33, 3 Tl 3.33-3.48
Pb: 0.4685 0.5000 0.4597  3 Pb 3.17-3.29, 3 Tl 3.38-3.46
Pb: 0.4981 0.0970 0.9091  3 Pb 3.20-3.34, 5 Tl 3.36-3.58

Values from the calculation:
- Final energy: -2.8889 eV per atom
- Magnetization: 0.0 Bohr magnetons per cell
- Fermi-level density of states: 0.355 states/eV per atom
- Energy relative to the elements: -0.011 eV per atom